Record 1
VASP calculation (GGA-PBE) on a relaxed Cs3RbHg2Cl9 crystal.

Cell and atoms, written as POSCAR:
```
Cs3RbHg2Cl9
1.0
7.6017 0.0000 0.0000
-3.8009 6.5833 0.0000
0.0000 0.0000 10.7928
Cs Rb Hg Cl
3 1 2 9
direct
0.3333 0.6667 0.7347
0.0000 0.0000 0.0000
0.6667 0.3333 0.2653
0.0000 0.0000 0.5000
0.3333 0.6667 0.1558
0.6667 0.3333 0.8442
0.8338 0.1662 0.7189
0.8338 0.6676 0.7189
0.3324 0.1662 0.7189
0.6676 0.8338 0.2811
0.1662 0.3324 0.2811
0.1662 0.8338 0.2811
0.5000 0.0000 0.0000
0.0000 0.5000 0.0000
0.5000 0.5000 0.0000
```

Properties
crystal system	trigonal
raw formation energy	-1835	kJ/mol of formula units
SG	P-3m1
total magnetic moment	0.0002	μB per atom

=====

Record 2
VASP calculation (GGA-PBE) on a relaxed TaAl2Ni3 crystal.

Cell and atoms, written as POSCAR:
```
TaAl2Ni3
1.0
-2.8402 0.1748 0.2720
-0.2841 -0.2011 -2.8372
-0.5088 -9.3818 0.7159
Ta Al Ni
1 2 3
direct
0.5000 0.5000 0.5000
0.5000 0.5000 0.8440
0.5000 0.5000 0.1560
0.0000 0.0000 0.0000
0.0000 0.0000 0.6947
0.0000 0.0000 0.3053
```

Properties
crystal system	tetragonal
SG	P4/mmm
total magnetic moment	0.0000	μB per atom
formation energy	-0.502	eV per atom

=====

Record 3
VASP calculation (GGA-PBE) on a relaxed TaBeIN2 crystal.

Cell and atoms, written as POSCAR:
```
TaBeIN2
1.0
3.8332 0.0000 0.0000
0.0000 3.8332 0.0000
0.0000 0.0000 4.6675
I Be N Ta
1 1 2 1
direct
0.0000 0.0000 0.5000
0.0000 0.0000 0.0000
0.0000 0.5000 0.0000
0.5000 0.0000 0.0000
0.5000 0.5000 0.5000
```

Properties
distance to the lowest polymorph of the same formula	0.997	eV/atom
crystal system	tetragonal
raw formation energy	790	kJ/mol of formula units
SG	P4/mmm
total magnetic moment	0.0003	μB per atom

=====

Record 4
VASP calculation (GGA-PBE) on a relaxed USnPt crystal.

Cell and atoms, written as POSCAR:
```
USnPt
1.0
-2.5988 0.7143 4.1157
-1.9384 -2.7412 -0.7482
4.1307 -6.0790 3.6633
U Sn Pt
2 2 2
direct
0.2500 0.9113 0.1774
0.7500 0.0887 0.8226
0.2500 0.2231 0.5538
0.7500 0.7769 0.4462
0.2500 0.5575 0.8850
0.7500 0.4425 0.1150
```

Properties
crystal system	orthorhombic
SG	Cmcm
total magnetic moment	0.8304	μB per atom
formation energy	-0.322	eV per atom

=====

Record 5
VASP calculation (GGA-PBE) on a relaxed Ba2ReSb crystal.

Cell and atoms, written as POSCAR:
```
Ba2ReSb
1.0
3.6435 0.0100 0.0000
-0.0096 3.6435 0.0000
0.0000 0.0000 9.9980
Ba Re Sb
2 1 1
direct
0.0000 0.0000 0.9229
0.5000 0.5000 0.3327
0.0000 0.0000 0.5675
0.5000 0.5000 0.6768
```

Properties
crystal system	tetragonal
raw formation energy	121	kJ/mol of formula units
SG	P4mm
total magnetic moment	0.1135	μB per atom

=====

Record 6
VASP calculation (GGA-PBE) on a relaxed AgPbBr crystal.

Cell and atoms, written as POSCAR:
```
AgPbBr
1.0
-2.7399 1.4903 -2.4919
1.4475 -3.6734 -0.5906
-4.4600 -2.3225 3.5147
Pb Br Ag
1 1 1
direct
0.3333 0.6667 0.6937
0.6667 0.3333 0.2976
0.0000 0.0000 0.0087
```

Properties
distance to the lowest polymorph of the same formula	0.000	eV/atom
crystal system	trigonal
raw formation energy	-48	kJ/mol of formula units
SG	P3m1
total magnetic moment	0.0000	μB per atom

=====

Record 7
VASP calculation (GGA-PBE) on a relaxed MgBe2Au crystal.

Cell and atoms, written as POSCAR:
```
MgBe2Au
1.0
-3.3454 0.3439 -3.7322
-0.4722 -3.7173 3.1173
-2.2216 0.7807 1.3739
Be Mg Au
2 1 1
direct
0.0000 0.0000 0.0000
0.5000 0.0000 0.5000
0.0000 0.5000 0.5000
0.5000 0.5000 0.0000
```

Properties
crystal system	monoclinic
SG	C2/m
total magnetic moment	0.0000	μB per atom
formation energy	0.201	eV per atom

=====

Record 8
VASP calculation (GGA-PBE) on a relaxed Pm2DyY7 crystal.

Cell and atoms, written as POSCAR:
```
Pm2DyY7
1.0
6.1266 -0.8950 -0.4152
-0.9614 9.0346 -2.7194
-0.6790 -0.3415 6.1513
Pm Dy Y
2 1 7
direct
0.5019 0.7003 0.6007
0.4981 0.2997 0.3993
0.0000 0.0000 0.0000
0.9999 0.8006 0.4001
0.0001 0.1994 0.5999
0.0004 0.6008 0.8002
0.9996 0.3992 0.1998
0.4999 0.9010 0.2000
0.5001 0.0990 0.8000
0.5000 0.5000 0.0000
```

Properties
distance to the lowest polymorph of the same formula	0.000	eV/atom
crystal system	triclinic
SG	P-1
total magnetic moment	0.0000	μB per atom
formation energy	0.020	eV per atom

=====

Record 9
VASP calculation (GGA-PBE) on a relaxed TiPdIO2 crystal.

Cell and atoms, written as POSCAR:
```
TiPdIO2
1.0
-0.2709 -4.0201 0.5761
3.5477 0.0467 1.9945
-2.5318 0.8132 4.4844
I O Pd Ti
1 2 1 1
direct
0.0000 0.0000 0.5000
0.0000 0.5000 0.0000
0.5000 0.0000 0.0000
0.0000 0.0000 0.0000
0.5000 0.5000 0.5000
```

Properties
distance to the lowest polymorph of the same formula	1.532	eV/atom
crystal system	tetragonal
raw formation energy	111	kJ/mol of formula units
SG	P4/mmm
total magnetic moment	0.0001	μB per atom

=====

Record 10
VASP calculation (GGA-PBE) on a relaxed Hf2TaH8 crystal.

Cell and atoms, written as POSCAR:
```
Hf2TaH8
1.0
-1.0126 1.5664 -2.4335
4.1214 0.0764 -1.6657
-2.6558 -6.1469 -0.9196
Hf Ta H
2 1 8
direct
0.1493 0.6493 0.2985
0.8507 0.3507 0.7015
0.5000 0.0000 0.0000
0.6309 0.9114 0.2618
0.3691 0.6497 0.7382
0.2415 0.2415 0.4831
0.0000 0.2668 0.0000
0.7585 0.7585 0.5169
0.6309 0.3503 0.2618
0.3691 0.0886 0.7382
0.0000 0.7332 0.0000
```

Properties
distance to the lowest polymorph of the same formula	0.000	eV/atom
crystal system	orthorhombic
SG	Immm
total magnetic moment	0.0000	μB per atom

=====

Record 11
VASP calculation (GGA-PBE) on a relaxed MgZr2In crystal.

Cell and atoms, written as POSCAR:
```
MgZr2In
1.0
-3.5463 -2.3831 -1.5740
1.5223 -0.3580 -2.8878
3.3249 -5.3106 0.5494
In Mg Zr
1 1 2
direct
0.0000 0.6941 0.4916
0.5000 0.5538 0.7626
0.0000 0.9436 0.9865
0.5000 0.3085 0.2593
```

Properties
crystal system	monoclinic
SG	Pm
total magnetic moment	0.0000	μB per atom
formation energy	-0.107	eV per atom

=====

Record 12
VASP calculation (GGA-PBE) on a relaxed La5Pr4Nd2 crystal.

Cell and atoms, written as POSCAR:
```
La5Pr4Nd2
1.0
3.6379 0.0000 0.0000
0.0000 8.7779 -1.8679
-1.8189 -5.1643 13.8162
La Pr Nd
5 4 2
direct
0.1841 0.8967 0.3682
0.8159 0.1033 0.6318
0.1326 0.2140 0.2653
0.5000 0.0000 0.0000
0.8674 0.7860 0.7347
0.5874 0.4773 0.1747
0.0418 0.7383 0.0836
0.4126 0.5227 0.8253
0.9582 0.2617 0.9164
0.7274 0.6296 0.4548
0.2726 0.3704 0.5452
```

Properties
distance to the lowest polymorph of the same formula	0.000	eV/atom
crystal system	monoclinic
SG	C2/m
total magnetic moment	0.0000	μB per atom
formation energy	0.089	eV per atom

=====

Record 13
VASP calculation (GGA-PBE) on a relaxed ZrSc2Ge crystal.

Cell and atoms, written as POSCAR:
```
ZrSc2Ge
1.0
-7.7184 -0.3697 1.8917
1.9256 -1.1385 7.6344
-2.9265 2.0628 5.1907
Sc Ge Zr
4 2 2
direct
0.5832 0.1250 0.2500
0.1668 0.6250 0.2500
0.3750 0.4168 0.7500
0.8750 0.8332 0.7500
0.5000 0.5000 0.0000
0.2500 0.7500 0.5000
0.0000 0.0000 0.0000
0.7500 0.2500 0.5000
```

Properties
crystal system	tetragonal
SG	I-42d
total magnetic moment	0.0000	μB per atom
formation energy	-0.018	eV per atom

=====

Record 14
VASP calculation (GGA-PBE) on a relaxed MgFe2Pb crystal.

Cell and atoms, written as POSCAR:
```
MgFe2Pb
1.0
-5.6918 -7.2647 -0.0898
-3.2380 -8.5274 -1.4065
-3.4438 -8.4039 1.6418
Fe Mg Pb
2 1 1
direct
0.9978 0.9978 0.9978
0.5022 0.5022 0.5022
0.2500 0.2500 0.2500
0.7500 0.7500 0.7500
```

Properties
crystal system	trigonal
SG	R-3m
total magnetic moment	1.3560	μB per atom
formation energy	0.605	eV per atom

=====

Record 15
VASP calculation (GGA-PBE) on a relaxed MnFeP2 crystal.

Cell and atoms, written as POSCAR:
```
MnFeP2
1.0
-1.8030 0.4479 -3.7585
-1.8010 -2.2632 -3.0351
-3.9254 0.2391 0.9070
Fe Mn P
1 1 2
direct
0.5110 0.5110 0.4217
0.7375 0.7375 0.8340
0.0043 0.0043 0.9363
0.2471 0.2471 0.3080
```

Properties
distance to the lowest polymorph of the same formula	0.225	eV/atom
crystal system	monoclinic
SG	Cm
total magnetic moment	0.0002	μB per atom
formation energy	-0.365	eV per atom

=====

Record 16
VASP calculation (GGA-PBE) on a relaxed BaNaCuF2 crystal.

Cell and atoms, written as POSCAR:
```
BaNaCuF2
1.0
-2.0955 -2.9150 2.5358
-2.3391 -2.4680 -4.7700
3.4419 -2.7189 -0.2811
Na Ba Cu F
1 1 1 2
direct
0.0000 0.0000 0.0000
0.0000 0.5000 0.0000
0.5000 0.5000 0.5000
0.0000 0.0000 0.5000
0.5000 0.0000 0.0000
```

Properties
crystal system	tetragonal
raw formation energy	-617	kJ/mol of formula units
SG	P4/mmm
total magnetic moment	0.0000	μB per atom

=====

Record 17
VASP calculation (GGA-PBE) on a relaxed CsAlSnO4 crystal.

Cell and atoms, written as POSCAR:
```
CsAlSnO4
1.0
-2.8859 -3.2382 -3.3449
0.8309 -4.3835 3.5268
-3.8082 4.9703 7.0749
Cs Al Sn O
2 2 2 8
direct
0.6437 0.7500 0.8975
0.3563 0.2500 0.1025
0.2057 0.7500 0.3631
0.7943 0.2500 0.6369
0.7884 0.7500 0.4664
0.2116 0.2500 0.5336
0.0391 0.4773 0.6484
0.9609 0.9773 0.3516
0.9609 0.5227 0.3516
0.0391 0.0227 0.6484
0.3603 0.7500 0.2406
0.6397 0.2500 0.7594
0.5367 0.7500 0.5672
0.4633 0.2500 0.4328
```

Properties
crystal system	monoclinic
raw formation energy	-1356	kJ/mol of formula units
SG	P2_1/m
total magnetic moment	0.0000	μB per atom

=====

Record 18
VASP calculation (GGA-PBE) on a relaxed AcTbMgPb crystal.

Cell and atoms, written as POSCAR:
```
AcTbMgPb
1.0
-3.1508 3.3795 -3.2054
-4.8751 -1.8574 -2.0990
-4.8628 2.0185 1.9753
Pb Ac Tb Mg
1 1 1 1
direct
0.5000 0.5000 0.5000
0.7500 0.7500 0.7500
0.2500 0.2500 0.2500
0.0000 0.0000 0.0000
```

Properties
crystal system	cubic
SG	F-43m
total magnetic moment	0.0000	μB per atom
formation energy	-0.251	eV per atom

=====

Record 19
VASP calculation (GGA-PBE) on a relaxed Ce2Pa5 crystal.

Cell and atoms, written as POSCAR:
```
Ce2Pa5
1.0
5.2008 0.0000 0.0000
2.6004 4.5040 0.0000
2.6004 1.5013 7.5413
Ce Pa
2 5
direct
0.6654 0.6654 0.0037
0.3346 0.3346 0.9963
0.0688 0.0688 0.7936
0.8000 0.8000 0.6000
0.5000 0.5000 0.5000
0.2000 0.2000 0.4000
0.9312 0.9312 0.2064
```

Properties
distance to the lowest polymorph of the same formula	0.105	eV/atom
crystal system	trigonal
SG	R-3m
total magnetic moment	0.0000	μB per atom
formation energy	0.177	eV per atom

=====

Record 20
VASP calculation (GGA-PBE) on a relaxed Tb4PrTh3Se8 crystal.

Cell and atoms, written as POSCAR:
```
Tb4PrTh3Se8
1.0
-5.4328 1.4668 5.9297
-2.7873 -7.9596 -0.5847
7.9581 1.3135 1.3312
Tb Pr Th Se
4 1 3 8
direct
0.5000 0.0000 0.0000
0.5000 0.0000 0.5000
0.0000 0.0000 0.0000
0.0000 0.0000 0.5000
0.0000 0.5000 0.0000
0.5000 0.5000 0.0000
0.5000 0.5000 0.5000
0.0000 0.5000 0.5000
0.2552 0.7637 0.0085
0.2552 0.7637 0.5103
0.2455 0.2365 0.4909
0.7534 0.7637 0.0085
0.2466 0.2363 0.9915
0.7545 0.7635 0.5091
0.7448 0.2363 0.4897
0.7448 0.2363 0.9915
```

Properties
crystal system	trigonal
raw formation energy	-2610	kJ/mol of formula units
SG	R-3m
total magnetic moment	0.0000	μB per atom

=====

Number 1: Fermi-level density of states 0.488 states/eV/atom. Number 2: Fermi-level density of states 0.867 states/eV/atom. Number 3: Fermi-level density of states 0.673 states/eV/atom. Number 4: Fermi-level density of states 1.720 states/eV/atom. Number 5: Fermi-level density of states 0.946 states/eV/atom. Number 6: Fermi-level density of states 0.256 states/eV/atom. Number 7: Fermi-level density of states 0.195 states/eV/atom. Number 8: Fermi-level density of states 1.480 states/eV/atom. Number 9: Fermi-level density of states 1.277 states/eV/atom. Number 10: Fermi-level density of states 0.176 states/eV/atom. Number 11: Fermi-level density of states 1.351 states/eV/atom. Number 12: Fermi-level density of states 1.570 states/eV/atom. Number 13: Fermi-level density of states 0.960 states/eV/atom. Number 14: Fermi-level density of states 1.089 states/eV/atom. Number 15: Fermi-level density of states 0.721 states/eV/atom. Number 16: Fermi-level density of states 0.000 states/eV/atom. Number 17: Fermi-level density of states 0.000 states/eV/atom. Number 18: Fermi-level density of states 1.000 states/eV/atom. Number 19: Fermi-level density of states 2.547 states/eV/atom. Number 20: Fermi-level density of states 0.495 states/eV/atom.